DFT (PBE-GGA) results for a geometry-optimized Sm2Y2Th structure.

**Formation energy**: 0.143 eV per atom
**Offset from the most stable computed form**: 67 meV/atom
**Total energy**: -5.814 eV/atom

abc: 8.644 6.536 9.110
angles: 71.40 61.17 48.60
Fractional positions:
Sm: 0.664 0.353 0.703
Sm: 0.336 0.647 0.297
Sm: 0.017 0.647 0.703
Sm: 0.983 0.353 0.297
Y: 0.747 0.000 0.410
Y: 0.591 0.000 0.127
Y: 0.409 0.000 0.873
Y: 0.253 0.000 0.590
Th: 0.166 0.668 0.000
Th: 0.834 0.332 0.000



DFT (PBE-GGA) results for a geometry-optimized Sm6YTh2 structure.

**Formation energy**: 0.071 eV per atom
**Total energy**: -5.442 eV/atom

abc: 3.605 3.605 26.828
angles: 90.00 90.00 120.00
Fractional positions:
Sm: 0.667 0.333 0.892
Sm: 0.333 0.667 0.437
Sm: 0.333 0.667 0.780
Sm: 0.333 0.667 0.220
Sm: 0.333 0.667 0.563
Sm: 0.667 0.333 0.108
Y: 0.333 0.667 0.000
Th: 0.667 0.333 0.330
Th: 0.667 0.333 0.670



DFT (PBE-GGA) results for a geometry-optimized Sm3Y12Th structure.

**Formation energy**: 0.027 eV per atom
**Total energy**: -6.170 eV/atom

abc: 5.071 5.071 20.279
angles: 90.00 90.00 90.00
Fractional positions:
Sm: 0.000 0.000 0.249
Sm: 0.000 0.000 0.500
Sm: 0.000 0.000 0.751
Y: 0.500 0.500 0.000
Y: 0.500 0.500 0.250
Y: 0.500 0.500 0.500
Y: 0.500 0.500 0.750
Y: 0.500 0.000 0.123
Y: 0.500 0.000 0.374
Y: 0.500 0.000 0.626
Y: 0.500 0.000 0.877
Y: 0.000 0.500 0.123
Y: 0.000 0.500 0.374
Y: 0.000 0.500 0.626
Y: 0.000 0.500 0.877
Th: 0.000 0.000 0.000



DFT (PBE-GGA) results for a geometry-optimized Sm10Y4Th structure.

**Formation energy**: 0.355 eV per atom
**Total energy**: -5.010 eV/atom

abc: 10.581 8.738 8.738
angles: 68.50 52.74 52.74
Each line ends with the local moment (μB).
Fractional positions:
Sm: 0.250 0.500 0.500  0.00
Sm: 0.544 0.326 0.904  -0.01
Sm: 0.130 0.096 0.326  -0.01
Sm: 0.552 0.904 0.674  -0.01
Sm: 0.774 0.674 0.096  -0.01
Sm: 0.456 0.674 0.096  -0.01
Sm: 0.750 0.500 0.500  0.00
Sm: 0.226 0.326 0.904  -0.01
Sm: 0.448 0.096 0.326  -0.01
Sm: 0.870 0.904 0.674  -0.01
Y: 0.331 0.731 0.607  0.06
Y: 0.938 0.393 0.731  0.06
Y: 0.062 0.607 0.269  0.06
Y: 0.669 0.269 0.393  0.06
Th: 0.000 0.000 0.000  0.40



DFT (PBE-GGA) results for a geometry-optimized Sm3Y3Th structure.

**Formation energy**: 0.167 eV per atom
**Offset from the most stable computed form**: 17 meV/atom
**Total energy**: -5.686 eV/atom

abc: 6.232 6.232 14.755
angles: 77.81 77.81 60.00
Fractional positions:
Sm: 0.934 0.269 0.197
Sm: 0.600 0.934 0.197
Sm: 0.269 0.600 0.197
Sm: 0.731 0.400 0.803
Sm: 0.400 0.066 0.803
Sm: 0.066 0.731 0.803
Y: 0.199 0.866 0.400
Y: 0.534 0.199 0.400
Y: 0.866 0.534 0.400
Y: 0.134 0.466 0.600
Y: 0.466 0.801 0.600
Y: 0.801 0.134 0.600
Th: 0.667 0.667 0.000
Th: 0.333 0.333 0.000



DFT (PBE-GGA) results for a geometry-optimized SmY4Th structure.

**Formation energy**: 0.159 eV per atom
**Offset from the most stable computed form**: 121 meV/atom
**Total energy**: -6.173 eV/atom

abc: 6.643 9.150 8.542
angles: 112.53 100.31 113.07
Fractional positions:
Sm: 0.340 0.590 0.179
Sm: 0.660 0.410 0.821
Y: 0.045 0.171 0.749
Y: 0.751 0.715 0.616
Y: 0.205 0.579 0.749
Y: 0.365 0.901 0.616
Y: 0.635 0.099 0.384
Y: 0.795 0.421 0.251
Y: 0.249 0.285 0.384
Y: 0.955 0.829 0.251
Th: 0.249 0.999 0.998
Th: 0.751 0.001 0.002



DFT (PBE-GGA) results for a geometry-optimized Sm6Y3Th2 structure.

**Formation energy**: 0.023 eV per atom
**Total energy**: -5.663 eV/atom

abc: 3.606 3.606 32.398
angles: 86.81 86.81 60.00
Fractional positions:
Sm: 0.909 0.909 0.274
Sm: 0.091 0.091 0.726
Sm: 0.817 0.817 0.549
Sm: 0.183 0.183 0.451
Sm: 0.636 0.636 0.091
Sm: 0.364 0.364 0.909
Y: 0.000 0.000 0.000
Y: 0.727 0.727 0.819
Y: 0.273 0.273 0.181
Th: 0.546 0.546 0.363
Th: 0.454 0.454 0.637



DFT (PBE-GGA) results for a geometry-optimized SmY2Th structure.

**Formation energy**: 0.019 eV per atom
**Offset from the most stable computed form**: 6 meV/atom
**Total energy**: -6.248 eV/atom

abc: 3.598 3.598 11.787
angles: 81.22 81.22 60.00
Fractional positions:
Y: 0.752 0.752 0.744
Y: 0.248 0.248 0.256
Sm: 0.000 0.000 0.000
Th: 0.500 0.500 0.500



DFT (PBE-GGA) results for a geometry-optimized Sm3Y4Th2 structure.

**Formation energy**: 0.134 eV per atom
**Offset from the most stable computed form**: 103 meV/atom
**Total energy**: -5.961 eV/atom

abc: 5.822 6.409 9.481
angles: 115.99 107.88 90.00
Fractional positions:
Sm: 0.872 0.309 0.745
Sm: 0.128 0.691 0.255
Sm: 0.000 0.000 0.000
Y: 0.562 0.380 0.124
Y: 0.772 0.677 0.545
Y: 0.438 0.620 0.876
Y: 0.228 0.323 0.455
Th: 0.354 0.996 0.709
Th: 0.646 0.004 0.291



DFT (PBE-GGA) results for a geometry-optimized Sm3Y2Th structure.

**Formation energy**: 0.599 eV per atom
**Offset from the most stable computed form**: 565 meV/atom
**Total energy**: -5.151 eV/atom

abc: 11.185 8.900 8.900
angles: 45.39 51.07 51.07
Fractional positions:
Sm: 0.500 0.250 0.750
Sm: 0.500 0.750 0.250
Sm: 0.233 0.017 0.517
Sm: 0.767 0.483 0.983
Sm: 0.767 0.983 0.483
Sm: 0.233 0.517 0.017
Y: 0.932 0.311 0.311
Y: 0.554 0.189 0.189
Y: 0.446 0.811 0.811
Y: 0.068 0.689 0.689
Th: 0.000 0.500 0.500
Th: 0.000 0.000 0.000



DFT (PBE-GGA) results for a geometry-optimized Sm4Y2Th5 structure.

**Formation energy**: 0.148 eV per atom
**Total energy**: -6.116 eV/atom

abc: 3.479 8.900 11.786
angles: 85.37 90.00 90.00
Fractional positions:
Sm: 0.500 0.296 0.553
Sm: 0.500 0.841 0.902
Sm: 0.500 0.704 0.447
Sm: 0.500 0.159 0.098
Y: 0.000 0.943 0.637
Y: 0.000 0.057 0.363
Th: 0.000 0.428 0.287
Th: 0.000 0.790 0.176
Th: 0.000 0.500 0.000
Th: 0.000 0.210 0.824
Th: 0.000 0.572 0.713



DFT (PBE-GGA) results for a geometry-optimized SmYTh structure.

**Formation energy**: 0.026 eV per atom
**Offset from the most stable computed form**: 0 meV/atom
**Total energy**: -6.175 eV/atom

abc: 7.187 6.236 9.484
angles: 70.93 100.89 89.91
Fractional positions:
Sm: 0.707 0.922 0.325
Sm: 0.457 0.422 0.324
Sm: 0.543 0.578 0.676
Sm: 0.293 0.078 0.675
Y: 0.958 0.420 0.327
Y: 0.206 0.920 0.326
Y: 0.794 0.080 0.674
Y: 0.042 0.580 0.673
Th: 0.124 0.750 0.000
Th: 0.627 0.750 0.000
Th: 0.373 0.250 0.000
Th: 0.876 0.250 0.000



DFT (PBE-GGA) results for a geometry-optimized Sm2Y8Th structure.

**Formation energy**: 0.186 eV per atom
**Offset from the most stable computed form**: 11 meV/atom
**Total energy**: -6.048 eV/atom

abc: 5.626 10.227 10.227
angles: 39.52 93.39 93.39
Fractional positions:
Sm: 0.749 0.283 0.283
Sm: 0.251 0.717 0.717
Y: 0.273 0.132 0.610
Y: 0.273 0.610 0.132
Y: 0.727 0.868 0.390
Y: 0.231 0.548 0.548
Y: 0.727 0.390 0.868
Y: 0.226 0.185 0.185
Y: 0.774 0.815 0.815
Y: 0.769 0.452 0.452
Th: 0.000 0.000 0.000



DFT (PBE-GGA) results for a geometry-optimized SmY3Th2 structure.

**Formation energy**: 0.091 eV per atom
**Offset from the most stable computed form**: 0 meV/atom
**Total energy**: -6.401 eV/atom

abc: 3.640 8.939 12.074
angles: 90.14 90.00 90.00
Fractional positions:
Sm: 0.250 0.826 0.758
Sm: 0.750 0.174 0.242
Y: 0.750 0.098 0.607
Y: 0.250 0.902 0.393
Y: 0.750 0.603 0.250
Y: 0.250 0.397 0.750
Y: 0.250 0.360 0.048
Y: 0.750 0.640 0.952
Th: 0.250 0.360 0.444
Th: 0.750 0.640 0.556
Th: 0.750 0.100 0.902
Th: 0.250 0.900 0.098



DFT (PBE-GGA) results for a geometry-optimized SmYTh2 structure.

**Formation energy**: 0.029 eV per atom
**Offset from the most stable computed form**: 0 meV/atom
**Total energy**: -6.476 eV/atom

abc: 5.068 5.086 11.350
angles: 90.00 116.43 90.00
Fractional positions:
Sm: 0.367 0.250 0.368
Sm: 0.633 0.750 0.632
Y: 0.868 0.750 0.368
Y: 0.132 0.250 0.632
Th: 0.620 0.250 0.120
Th: 0.380 0.750 0.880
Th: 0.122 0.750 0.122
Th: 0.878 0.250 0.878



DFT (PBE-GGA) results for a geometry-optimized Sm5Y4Th2 structure.

**Formation energy**: 0.126 eV per atom
**Offset from the most stable computed form**: 0 meV/atom
**Total energy**: -5.718 eV/atom

abc: 3.517 8.893 11.866
angles: 86.05 90.00 90.00
Fractional positions:
Sm: 0.000 0.423 0.288
Sm: 0.000 0.802 0.166
Sm: 0.000 0.500 0.000
Sm: 0.000 0.198 0.834
Sm: 0.000 0.577 0.712
Y: 0.500 0.304 0.547
Y: 0.500 0.843 0.894
Y: 0.500 0.696 0.453
Y: 0.500 0.157 0.106
Th: 0.000 0.961 0.632
Th: 0.000 0.039 0.368



DFT (PBE-GGA) results for a geometry-optimized Sm5YTh2 structure.

**Formation energy**: 0.099 eV per atom
**Offset from the most stable computed form**: 0 meV/atom
**Total energy**: -5.513 eV/atom

abc: 3.550 11.315 8.945
angles: 129.23 101.49 90.00
Fractional positions:
Sm: 0.000 0.500 0.000
Sm: 0.629 0.393 0.260
Sm: 0.371 0.607 0.740
Sm: 0.629 0.867 0.260
Sm: 0.371 0.133 0.740
Y: 0.000 0.000 0.000
Th: 0.257 0.757 0.515
Th: 0.743 0.243 0.485



DFT (PBE-GGA) results for a geometry-optimized Sm2Y3Th structure.

**Formation energy**: 0.231 eV per atom
**Offset from the most stable computed form**: 192 meV/atom
**Total energy**: -5.811 eV/atom

abc: 6.813 7.855 7.855
angles: 74.05 90.00 90.00
Fractional positions:
Sm: 0.574 0.835 0.485
Sm: 0.074 0.515 0.165
Sm: 0.574 0.485 0.835
Sm: 0.074 0.165 0.515
Y: 0.078 0.777 0.428
Y: 0.578 0.572 0.223
Y: 0.078 0.428 0.777
Y: 0.578 0.223 0.572
Y: 0.324 0.861 0.861
Y: 0.824 0.139 0.139
Th: 0.830 0.852 0.852
Th: 0.330 0.148 0.148



DFT (PBE-GGA) results for a geometry-optimized SmY7Th2 structure.

**Formation energy**: 0.034 eV per atom
**Total energy**: -6.447 eV/atom

abc: 6.201 9.487 6.189
angles: 109.02 80.37 77.40
Fractional positions:
Sm: 0.000 0.000 0.000
Y: 0.002 0.798 0.403
Y: 0.998 0.202 0.597
Y: 0.003 0.599 0.792
Y: 0.997 0.401 0.208
Y: 0.500 0.900 0.202
Y: 0.500 0.100 0.798
Y: 0.500 0.500 0.000
Th: 0.497 0.696 0.600
Th: 0.503 0.304 0.400



DFT (PBE-GGA) results for a geometry-optimized Sm8Y6Th structure.

**Formation energy**: 0.115 eV per atom
**Total energy**: -5.482 eV/atom

abc: 8.740 8.740 8.740
angles: 62.93 62.93 62.93
Fractional positions:
Sm: 0.114 0.716 0.755
Sm: 0.245 0.886 0.284
Sm: 0.284 0.245 0.886
Sm: 0.577 0.577 0.577
Sm: 0.423 0.423 0.423
Sm: 0.716 0.755 0.114
Sm: 0.755 0.114 0.716
Sm: 0.886 0.284 0.245
Y: 0.903 0.463 0.755
Y: 0.245 0.097 0.537
Y: 0.537 0.245 0.097
Y: 0.463 0.755 0.903
Y: 0.755 0.903 0.463
Y: 0.097 0.537 0.245
Th: 0.000 0.000 0.000



DFT (PBE-GGA) results for a geometry-optimized SmYTh14 structure.

**Formation energy**: 0.036 eV per atom
**Total energy**: -7.155 eV/atom

abc: 7.184 7.184 11.603
angles: 90.00 90.00 120.06
Fractional positions:
Sm: 0.040 0.960 0.500
Y: 0.541 0.459 0.500
Th: 0.208 0.792 0.000
Th: 0.708 0.292 0.000
Th: 0.043 0.456 0.500
Th: 0.208 0.292 0.000
Th: 0.544 0.957 0.500
Th: 0.708 0.792 0.000
Th: 0.375 0.125 0.751
Th: 0.375 0.125 0.249
Th: 0.875 0.625 0.751
Th: 0.875 0.625 0.249
Th: 0.375 0.625 0.751
Th: 0.375 0.625 0.249
Th: 0.875 0.125 0.752
Th: 0.875 0.125 0.248



no.,volume (Å³/cell)
1,338
2,302
3,521
4,512
5,481
6,407
7,364
8,130
9,299
10,462
11,364
12,394
13,374
14,393
15,262
16,370
17,269
18,404
19,324
20,503
21,518